This record from Alexandria describes crystalline Re2HgIr at its relaxed geometry. The functional is PBE.

Properties
The calculation puts the calculated density at 19.6 g/cm³. The value obtained for the raw total energy is -7.6286 eV per atom.

Unit cell a=4.8124 b=4.8124 c=2.7968 alpha=90.00 beta=90.00 gamma=90.00
Closest atoms and distances in Å follow each position.
Element x y z (fractional)
1 Re 0.0000 0.5000 0.0000  4 Ir 2.78, 4 Hg 2.78, 2 Re 2.80
2 Re 0.5000 0.0000 0.0000  4 Ir 2.78, 4 Hg 2.78, 2 Re 2.80
3 Hg 0.0000 0.0000 0.5000  8 Re 2.78, 2 Hg 2.80
4 Ir 0.5000 0.5000 0.5000  8 Re 2.78, 2 Ir 2.80